No. 1
The following is a PBE calculation of a relaxed structure of RuRh, from Alexandria. Values from VASP.

Geometry as Quantum ESPRESSO input:
```
&SYSTEM
  ibrav = 0, nat = 4, ntyp = 2
/
ATOMIC_SPECIES
Rh 102.91 Rh.upf
Ru 101.07 Ru.upf
ATOMIC_POSITIONS crystal
Rh 0.0012 0.0012 0.0012
Rh 0.2488 0.2488 0.2488
Ru 0.4989 0.4989 0.4989
Ru 0.7511 0.7511 0.7511
CELL_PARAMETERS angstrom
-2.7139 7.8768 3.2037
-1.8026 6.7770 5.5224
-0.0740 8.0531 3.8490
```

Values from the calculation:
Its uncorrected energy is -8.22 eV/atom. Its symmetry is R-3m, No. 166.


No. 2
The following is a PBE calculation of a relaxed structure of La4YIn, from Alexandria. Values from VASP.

Geometry as Quantum ESPRESSO input:
```
&SYSTEM
  ibrav = 0, nat = 12, ntyp = 3
/
ATOMIC_SPECIES
La 138.91 La.upf
In 114.82 In.upf
Y 88.91 Y.upf
ATOMIC_POSITIONS crystal
La 0.4875 0.7500 0.0072
In 0.7159 0.2500 0.6582
La 0.7808 0.5007 0.3448
La 0.2192 0.0007 0.6552
Y 0.6976 0.7500 0.6675
La 0.7808 0.9993 0.3448
La 0.0000 0.5000 0.0000
La 0.5125 0.2500 0.9928
Y 0.3024 0.2500 0.3325
La 0.2192 0.4993 0.6552
In 0.2841 0.7500 0.3418
La 0.0000 0.0000 0.0000
CELL_PARAMETERS angstrom
6.2471 0.0000 -1.0161
0.0000 7.1389 0.0000
-0.8513 0.0000 9.0453
```

Values from the calculation:
Its symmetry is P2_1/m, No. 11. The calculation puts the polymorph energy (0 for the lowest one) at 0.0000 eV per atom.


No. 3
The following is a PBE calculation of a relaxed structure of LiSc3W, from Alexandria. Values from VASP.

Geometry as Quantum ESPRESSO input:
```
&SYSTEM
  ibrav = 0, nat = 5, ntyp = 3
/
ATOMIC_SPECIES
Li 6.94 Li.upf
W 183.84 W.upf
Sc 44.96 Sc.upf
ATOMIC_POSITIONS crystal
Li 0.5000 0.5000 0.5000
W 0.0000 0.0000 0.0000
Sc 0.0000 0.5000 0.0000
Sc 0.0000 0.0000 0.5000
Sc 0.5000 0.0000 0.0000
CELL_PARAMETERS angstrom
-1.9295 4.7246 0.7537
-4.5412 -1.5529 -1.8919
-1.5058 -1.3711 4.7398
```

Values from the calculation:
Its symmetry is Pm-3m, No. 221. The calculation puts the polymorph energy (0 for the lowest one) at 0.0000 eV per atom.


No. 4
The following is a PBE calculation of a relaxed structure of FeRu2Pt, from Alexandria. Values from VASP.

Geometry as Quantum ESPRESSO input:
```
&SYSTEM
  ibrav = 0, nat = 4, ntyp = 3
/
ATOMIC_SPECIES
Pt 195.08 Pt.upf
Ru 101.07 Ru.upf
Fe 55.84 Fe.upf
ATOMIC_POSITIONS crystal
Pt 0.7500 0.7500 0.7500
Ru 0.0000 0.0000 0.0000
Ru 0.2500 0.2500 0.2500
Fe 0.5000 0.5000 0.5000
CELL_PARAMETERS angstrom
-3.0332 2.6562 1.5780
-3.5379 0.8768 -2.3367
-3.8432 -1.5814 1.2143
```

Values from the calculation:
Its uncorrected energy is -7.94 eV/atom. Its symmetry is F-43m, No. 216.


No. 5
The following is a PBE calculation of a relaxed structure of Ta8Re, from Alexandria. Values from VASP.

Geometry as Quantum ESPRESSO input:
```
&SYSTEM
  ibrav = 0, nat = 9, ntyp = 2
/
ATOMIC_SPECIES
Ta 180.95 Ta.upf
Re 186.21 Re.upf
ATOMIC_POSITIONS crystal
Ta 0.6654 0.6654 0.3309
Re 0.0000 0.0000 0.0000
Ta 0.6731 0.0000 0.6731
Ta 0.3346 0.3346 0.6691
Ta 0.3346 0.6654 0.0000
Ta 0.0000 0.3269 0.3269
Ta 0.0000 0.6731 0.6731
Ta 0.6654 0.3346 0.0000
Ta 0.3269 0.0000 0.3269
CELL_PARAMETERS angstrom
-4.1474 4.1474 2.3717
4.1474 -4.1474 2.3717
4.1474 4.1474 -2.3717
```

Values from the calculation:
Its symmetry is I4/mmm, No. 139. The calculation puts the polymorph energy (0 for the lowest one) at 0.2200 eV per atom.


No. 6
The following is a PBE calculation of a relaxed structure of Sm4GeRhCl2, from Alexandria. Values from VASP.

Geometry as Quantum ESPRESSO input:
```
&SYSTEM
  ibrav = 0, nat = 8, ntyp = 4
/
ATOMIC_SPECIES
Sm 150.36 Sm.upf
Ge 72.64 Ge.upf
Rh 102.91 Rh.upf
Cl 35.45 Cl.upf
ATOMIC_POSITIONS crystal
Sm 0.0000 0.7112 0.7735
Sm 0.5000 0.7180 0.2481
Ge 0.0000 0.5000 0.5000
Sm 0.0000 0.2888 0.2265
Sm 0.5000 0.2820 0.7519
Rh 0.5000 0.5000 0.0000
Cl 0.5000 0.0000 0.5000
Cl 0.0000 0.0000 0.0000
CELL_PARAMETERS angstrom
-3.6329 -1.6560 -0.8562
1.9379 -6.1327 3.6388
-2.0460 0.8202 7.0948
```

Values from the calculation:
For the raw formation energy, the calculation gives -9.17 eV per formula unit. Its symmetry is P2/m, No. 10.


No. 7
The following is a PBE calculation of a relaxed structure of Mn2TlInRh, from Alexandria. Values from VASP.

Geometry as Quantum ESPRESSO input:
```
&SYSTEM
  ibrav = 0, nat = 5, ntyp = 4
/
ATOMIC_SPECIES
Mn 54.94 Mn.upf
Rh 102.91 Rh.upf
In 114.82 In.upf
Tl 204.38 Tl.upf
ATOMIC_POSITIONS crystal
Mn 0.5000 0.0000 0.0000
Rh 0.5000 0.5000 0.5000
Mn 0.0000 0.0000 0.5000
In 0.0000 0.5000 0.0000
Tl 0.0000 0.0000 0.0000
CELL_PARAMETERS angstrom
-3.5770 -3.1300 1.5360
1.3846 -3.4579 -3.8221
3.2368 -2.1632 3.1296
```

Values from the calculation:
Its uncorrected energy is -4.67 eV/atom. Its symmetry is P4/mmm, No. 123.


No. 8
The following is a PBE calculation of a relaxed structure of CePrPt, from Alexandria. Values from VASP.

Geometry as Quantum ESPRESSO input:
```
&SYSTEM
  ibrav = 0, nat = 3, ntyp = 3
/
ATOMIC_SPECIES
Pr 140.91 Pr.upf
Pt 195.08 Pt.upf
Ce 140.12 Ce.upf
ATOMIC_POSITIONS crystal
Pr 0.0000 0.0000 0.0000
Pt 0.2500 0.2500 0.2500
Ce 0.5000 0.5000 0.5000
CELL_PARAMETERS angstrom
-3.0151 -2.7091 2.9419
-3.1040 -3.3707 -2.0219
0.8580 -4.8931 0.6368
```

Values from the calculation:
Its symmetry is F-43m, No. 216. The calculation puts the polymorph energy (0 for the lowest one) at 0.1416 eV per atom.


No. 9
The following is a PBE calculation of a relaxed structure of HfV2NiN, from Alexandria. Values from VASP.

Geometry as Quantum ESPRESSO input:
```
&SYSTEM
  ibrav = 0, nat = 5, ntyp = 4
/
ATOMIC_SPECIES
Hf 178.49 Hf.upf
N 14.01 N.upf
V 50.94 V.upf
Ni 58.69 Ni.upf
ATOMIC_POSITIONS crystal
Hf 0.0000 0.5000 0.0000
N 0.5000 0.5000 0.5000
V 0.0000 0.0000 0.5000
Ni 0.0000 0.0000 0.0000
V 0.5000 0.0000 0.0000
CELL_PARAMETERS angstrom
-1.2149 3.9102 1.2263
-4.1408 -1.8209 1.7040
1.8403 -0.6222 3.8073
```

Values from the calculation:
For the raw formation energy, the calculation gives 7.11 eV per formula unit. Its symmetry is P4/mmm, No. 123.


No. 10
The following is a PBE calculation of a relaxed structure of DyY10Tm2, from Alexandria. Values from VASP.

Geometry as Quantum ESPRESSO input:
```
&SYSTEM
  ibrav = 0, nat = 13, ntyp = 3
/
ATOMIC_SPECIES
Y 88.91 Y.upf
Dy 162.50 Dy.upf
Tm 168.93 Tm.upf
ATOMIC_POSITIONS crystal
Y 0.2954 0.2078 0.2013
Y 0.0000 0.0000 0.5000
Dy 0.0000 0.0000 0.0000
Tm 0.0000 0.5000 0.0000
Tm 0.5000 0.5000 0.0000
Y 0.9858 0.3627 0.6657
Y 0.5033 0.7922 0.2013
Y 0.5000 0.0000 0.5000
Y 0.6515 0.3627 0.3343
Y 0.4967 0.2078 0.7987
Y 0.7046 0.7922 0.7987
Y 0.3485 0.6373 0.6657
Y 0.0142 0.6373 0.3343
CELL_PARAMETERS angstrom
6.5382 0.0000 0.0000
3.2691 7.7484 0.0000
3.2691 0.0000 8.6589
```

Values from the calculation:
Its uncorrected energy is -5.73 eV/atom. Its symmetry is Fmmm, No. 69.


No. 11
The following is a PBE calculation of a relaxed structure of Zn5Te4, from Alexandria. Values from VASP.

Geometry as Quantum ESPRESSO input:
```
&SYSTEM
  ibrav = 0, nat = 9, ntyp = 2
/
ATOMIC_SPECIES
Te 127.60 Te.upf
Zn 65.41 Zn.upf
ATOMIC_POSITIONS crystal
Te 0.2562 0.0000 0.2562
Zn 0.3138 0.3138 0.6275
Zn 0.0000 0.0000 0.0000
Te 0.7438 0.0000 0.7438
Zn 0.3138 0.6862 0.0000
Te 0.0000 0.7438 0.7438
Zn 0.6862 0.6862 0.3725
Te 0.0000 0.2562 0.2562
Zn 0.6862 0.3138 0.0000
CELL_PARAMETERS angstrom
-5.4035 5.4035 1.9664
5.4035 -5.4035 1.9664
5.4035 5.4035 -1.9664
```

Values from the calculation:
For the raw formation energy, the calculation gives 0.29 eV per formula unit. Its symmetry is I4/mmm, No. 139. The calculation puts the polymorph energy (0 for the lowest one) at 0.0684 eV per atom.


No. 12
The following is a PBE calculation of a relaxed structure of CaCdI4, from Alexandria. Values from VASP.

Geometry as Quantum ESPRESSO input:
```
&SYSTEM
  ibrav = 0, nat = 6, ntyp = 3
/
ATOMIC_SPECIES
Cd 112.41 Cd.upf
I 126.90 I.upf
Ca 40.08 Ca.upf
ATOMIC_POSITIONS crystal
Cd 0.0000 0.0000 0.0000
I 0.1161 0.2322 0.4393
I 0.8839 0.7678 0.5607
I 0.6138 0.2276 0.9562
Ca 0.5000 0.0000 0.5000
I 0.3862 0.7724 0.0438
CELL_PARAMETERS angstrom
-0.2888 4.3568 -0.5623
-6.6491 -3.2835 -4.7922
-1.4314 0.8734 7.5022
```

Values from the calculation:
For the raw formation energy, the calculation gives -6.52 eV per formula unit. Its symmetry is C2/m, No. 12.